Compound: Mg2SbSe
Source: Alexandria
Functional: SCAN
Structure: PBEsol geometry

The density of states at the Fermi level is 4.26 states/eV/cell. For the uncorrected formation energy, the calculation gives -1.375 eV/f.u. As for the excess energy over the best structure of this formula in the dataset: 0.462 eV/atom. Its magnetic moment is 0.0 μB per cell.

The structure belongs to space group I-4m2 (No. 119); the cell edges are 4.020, 4.020 and 11.132 Å and the angles 90.00°, 90.00° and 90.00°. Symmetry generates all atoms from Mg at (0.000, 0.000, 0.000), Mg at (0.000, 0.500, 0.250), Sb at (0.000, 0.000, 0.500) and Se at (0.000, 0.500, 0.750).


Compound: Mg2CdGa2
Source: Alexandria
Functional: SCAN
Structure: PBEsol geometry

The density of states at the Fermi level is 3.66 states/eV/cell. Its magnetic moment is 0.0 μB per cell. Its energy of formation is -0.146 eV per atom.

The structure belongs to space group P4/mbm (No. 127); the cell edges are 6.937, 6.937 and 4.121 Å and the angles 90.00°, 90.00° and 90.00°. Symmetry generates all atoms from Mg at (0.169, 0.331, 0.000), Cd at (0.000, 0.000, 0.500) and Ga at (0.130, 0.630, 0.500).


Compound: TcOs
Source: Alexandria
Functional: SCAN
Structure: PBEsol geometry

The density of states at the Fermi level is 3.61 states/eV/cell. As for the excess energy over the best structure of this formula in the dataset: 0.064 eV/atom. Its magnetic moment is 0.0 μB per cell. Its energy of formation is -0.058 eV per atom.

The structure belongs to space group P-3m1 (No. 164); the cell edges are 2.7276, 2.7276 and 8.6557 Å and the angles 90.00°, 90.00° and 120.00°. Symmetry generates all atoms from Tc at (0.3333, 0.6667, 0.3734) and Os at (0.3333, 0.6667, 0.8746).


Compound: HoSnPd
Source: Alexandria
Functional: SCAN
Structure: PBEsol geometry

The density of states at the Fermi level is 5.00 states/eV/cell. Its magnetic moment is 0.0 μB per cell. Its energy of formation is -1.029 eV per atom.

The structure belongs to space group Pnma (No. 62); the cell edges are 7.060, 4.569 and 7.835 Å and the angles 90.00°, 90.00° and 90.00°. Symmetry generates all atoms from Ho at (0.009, 0.250, 0.205), Sn at (0.193, 0.250, 0.587) and Pd at (0.208, 0.750, 0.416).


Compound: Sc2CoSe
Source: Alexandria
Functional: SCAN
Structure: PBEsol geometry

The density of states at the Fermi level is 2.10 states/eV/cell. For the uncorrected formation energy, the calculation gives -3.332 eV/f.u. Its magnetic moment is 0.8 μB per cell.

The structure belongs to space group P4/mmm (No. 123); the cell edges are 3.257, 3.257 and 6.333 Å and the angles 90.00°, 90.00° and 90.00°. Symmetry generates all atoms from Sc at (0.000, 0.000, 0.233), Co at (0.500, 0.500, 0.000) and Se at (0.500, 0.500, 0.500).


Compound: SmHoO3
Source: Alexandria
Functional: SCAN
Structure: PBEsol geometry

The density of states at the Fermi level is 0.00 states/eV/cell. For the uncorrected formation energy, the calculation gives -19.058 eV/f.u. Its magnetic moment is 0.0 μB per cell.

The structure belongs to space group Pnma (No. 62); the cell edges are 5.943, 8.365 and 5.682 Å and the angles 90.00°, 90.00° and 90.00°. Symmetry generates all atoms from Sm at (0.056, 0.250, 0.022), Ho at (0.000, 0.000, 0.500), O at (0.071, 0.750, 0.356) and O at (0.194, 0.578, 0.809).


Compound: BaGaTe2N
Source: Alexandria
Functional: SCAN
Structure: PBEsol geometry

The density of states at the Fermi level is 1.49 states/eV/cell. For the uncorrected formation energy, the calculation gives -0.659 eV/f.u. Its magnetic moment is 0.0 μB per cell.

The structure belongs to space group P4/mmm (No. 123); the cell edges are 5.474, 5.474 and 4.171 Å and the angles 90.00°, 90.00° and 90.00°. Symmetry generates all atoms from Ba at (0.000, 0.000, 0.000), Ga at (0.500, 0.500, 0.000), Te at (0.000, 0.500, 0.500) and N at (0.500, 0.500, 0.500).


Compound: CaNiF3
Source: Alexandria
Functional: SCAN
Structure: PBEsol geometry

The density of states at the Fermi level is 10.89 states/eV/cell. For the uncorrected formation energy, the calculation gives -10.863 eV/f.u. Its magnetic moment is 1.1 μB per cell.

The structure belongs to space group Pm-3m (No. 221); the cell edges are 4.305, 4.305 and 4.305 Å and the angles 90.00°, 90.00° and 90.00°. Symmetry generates all atoms from Ca at (0.000, 0.000, 0.000), Ni at (0.500, 0.500, 0.500) and F at (0.000, 0.000, 0.500).